1.
A plane-wave DFT calculation with PBE was carried out for ErGe2Rh5 after structural relaxation.

Cell and atoms, written as CIF:
```
data_ErGe2Rh5
_chemical_formula_sum 'Er2 Ge4 Rh10'
_symmetry_space_group_name_H-M 'I m m m'
_symmetry_Int_Tables_number 71
_symmetry_space_group_name_Hall '-I 2 2'
_cell_length_a 3.8114
_cell_length_b 6.9259
_cell_length_c 10.0047
_cell_angle_alpha 90.00
_cell_angle_beta 90.00
_cell_angle_gamma 90.00
loop_
_atom_site_label
_atom_site_type_symbol
_atom_site_fract_x
_atom_site_fract_y
_atom_site_fract_z
Er1 Er 0.0000 0.0000 0.0000
Ge1 Ge 0.0000 0.5000 0.2432
Rh1 Rh 0.0000 0.2011 0.3609
Rh2 Rh 0.0000 0.5000 0.0000
```

2.
A plane-wave DFT calculation with PBE was carried out for ErGe3Rh3 after structural relaxation.

Cell and atoms, written as CIF:
```
data_ErGe3Rh3
_chemical_formula_sum 'Er2 Ge6 Rh6'
_symmetry_space_group_name_H-M 'P m -3 n'
_symmetry_Int_Tables_number 223
_symmetry_space_group_name_Hall '-P 4n 2 3'
_cell_length_a 6.6748
_cell_length_b 6.6748
_cell_length_c 6.6748
_cell_angle_alpha 90.00
_cell_angle_beta 90.00
_cell_angle_gamma 90.00
loop_
_atom_site_label
_atom_site_type_symbol
_atom_site_fract_x
_atom_site_fract_y
_atom_site_fract_z
Er1 Er 0.0000 0.0000 0.0000
Ge1 Ge 0.0000 0.2500 0.5000
Rh1 Rh 0.0000 0.5000 0.2500
```

Distance to the lowest polymorph of the same formula = 338 meV/atom

3.
A plane-wave DFT calculation with PBE was carried out for Er6GeRh5 after structural relaxation.

Cell and atoms, written as CIF:
```
data_Er6GeRh5
_chemical_formula_sum 'Er12 Ge2 Rh10'
_symmetry_space_group_name_H-M 'I m m m'
_symmetry_Int_Tables_number 71
_symmetry_space_group_name_Hall '-I 2 2'
_cell_length_a 4.8232
_cell_length_b 6.8498
_cell_length_c 14.5526
_cell_angle_alpha 90.00
_cell_angle_beta 90.00
_cell_angle_gamma 90.00
loop_
_atom_site_label
_atom_site_type_symbol
_atom_site_fract_x
_atom_site_fract_y
_atom_site_fract_z
Er1 Er 0.0000 0.2428 0.0000
Er2 Er 0.0000 0.2531 0.3312
Ge1 Ge 0.0000 0.0000 0.5000
Rh1 Rh 0.0000 0.0000 0.1671
Rh2 Rh 0.0000 0.5000 0.1674
Rh3 Rh 0.0000 0.5000 0.5000
```

Computed formation enthalpy at 0 K, in the same sequence as the records: -55 -20 -84 kJ per mole of atoms.